[1]
Compound: RbMgHg2Bi
Source: the Alexandria database
Functional: PBE
Structure: relaxed

Summary:
Total DFT energy (no corrections) (Ry per atom): -0.114
Formation energy from the elements (eV per atom): -0.1389
V (Å³/cell): 183

Unit cell a=5.7167 b=5.7167 c=5.5997 alpha=90.00 beta=90.00 gamma=90.00
With the nearest neighbours (Å) after each atom.
Positions (direct):
Rb  0.0000  0.0000  0.0000  8 Hg 4.00, 4 Bi 4.04
Mg  0.5000  0.5000  0.5000  2 Bi 2.80, 4 Hg 2.86
Hg  0.0000  0.5000  0.5000  2 Mg 2.86
Hg  0.5000  0.0000  0.5000  2 Mg 2.86
Bi  0.5000  0.5000  0.0000  2 Mg 2.80

---

[2]
Compound: RbMgHgBi2
Source: the Alexandria database
Functional: PBE
Structure: relaxed

Summary:
Total DFT energy (no corrections) (Ry per atom): -0.173
Formation energy from the elements (eV per atom): -0.2317
V (Å³/cell): 340

Unit cell a=4.8399 b=4.8399 c=14.5226 alpha=90.00 beta=90.00 gamma=90.00
With the nearest neighbours (Å) after each atom.
Positions (direct):
Rb  0.0000  0.0000  0.0000  8 Bi 3.86
Rb  0.5000  0.5000  0.5000  8 Bi 3.86
Mg  0.0000  0.5000  0.7500  4 Bi 3.05
Mg  0.5000  0.0000  0.2500  4 Bi 3.05
Hg  0.0000  0.5000  0.2500  4 Bi 3.05
Hg  0.5000  0.0000  0.7500  4 Bi 3.05
Bi  0.0000  0.0000  0.3773  2 Hg 3.05, 2 Mg 3.05
Bi  0.0000  0.0000  0.6227  2 Hg 3.05, 2 Mg 3.05
Bi  0.5000  0.5000  0.1227  2 Hg 3.05, 2 Mg 3.05
Bi  0.5000  0.5000  0.8773  2 Hg 3.05, 2 Mg 3.05

---

[3]
Compound: Rb2MgHg3Bi4
Source: the Alexandria database
Functional: PBE
Structure: relaxed

Summary:
Total DFT energy (no corrections) (Ry per atom): -0.162
Formation energy from the elements (eV per atom): -0.2015
V (Å³/cell): 345

Unit cell a=5.2497 b=5.2497 c=12.5289 alpha=90.00 beta=90.00 gamma=90.00
With the nearest neighbours (Å) after each atom.
Positions (direct):
Rb  0.0000  0.5000  0.2500  6 Hg 3.97-4.09, 8 Bi 4.02-4.09, 2 Mg 4.09
Rb  0.5000  0.0000  0.7500  6 Hg 3.97-4.09, 8 Bi 4.02-4.09, 2 Mg 4.09
Mg  0.0000  0.0000  0.5000  4 Bi 3.06
Hg  0.0000  0.5000  0.8633  5 Bi 2.97-3.13
Hg  0.5000  0.0000  0.1367  5 Bi 2.97-3.13
Hg  0.5000  0.5000  0.5000  4 Bi 3.06
Bi  0.0000  0.0000  0.0000  4 Hg 3.13
Bi  0.0000  0.5000  0.6261  3 Hg 2.97-3.06, 2 Mg 3.06
Bi  0.5000  0.0000  0.3739  3 Hg 2.97-3.06, 2 Mg 3.06
Bi  0.5000  0.5000  0.0000  4 Hg 3.13

---

[4]
Compound: MgReHgBi2
Source: the Alexandria database
Functional: PBE
Structure: relaxed

Summary:
Total DFT energy (no corrections) (Ry per atom): -0.213
Formation energy from the elements (eV per atom): 1.5259
V (Å³/cell): 161

Unit cell a=5.6991 b=5.6991 c=4.9672 alpha=90.00 beta=90.00 gamma=90.00
With the nearest neighbours (Å) after each atom.
Positions (direct):
Mg  0.0000  0.0000  0.0000  2 Hg 2.48
Re  0.5000  0.5000  0.0000  8 Bi 3.78, 4 Mg 4.03
Hg  0.0000  0.0000  0.5000  2 Mg 2.48
Bi  0.0000  0.5000  0.5000  2 Hg 2.85
Bi  0.5000  0.0000  0.5000  2 Hg 2.85